Ce2NdHgC: relaxed, PBE-GGA.

## Properties
Density of states at the Fermi level, states/eV per cell: 10.23
VASP energy, eV per atom: -5.45

Lattice parameters (Å, degrees): 4.9228 4.9228 5.1754 90.00 90.00 90.00
Last column: nearest neighbours and their distance in Å.
Space group P4/mmm (No. 123)
Inequivalent atoms, fractional coordinates:
Ce1 0.0000 0.5000 0.0000 [2 per cell]  2 C 2.46
Nd1 0.0000 0.0000 0.5000 [1 per cell]  2 C 2.59
Hg1 0.5000 0.5000 0.5000 [1 per cell]  4 Nd 3.48, 8 Ce 3.57
C1 0.0000 0.0000 0.0000 [1 per cell]  4 Ce 2.46, 2 Nd 2.59